1.
VASP calculation (GGA-PBE) on crystalline CuNi2Mo2 at its relaxed geometry.

Energy above the lowest structure with this stoichiometry   0 meV/atom
Formation energy from the elements   201 meV per atom
Magnetic moment   0.0 Bohr magnetons per cell

Structure (extended XYZ):
```
10
Lattice="7.1336 0.0000 0.0000 0.0000 7.1336 0.0000 0.0000 0.0000 2.6751" Properties=species:S:1:pos:R:3 pbc="T T T"
Ni 6.2814 4.4189 0.0000
Ni 4.4189 0.8521 0.0000
Ni 2.7147 6.2814 0.0000
Ni 0.8521 2.7147 0.0000
Cu 3.5668 3.5668 0.0000
Cu 0.0000 0.0000 0.0000
Mo 4.8249 5.8755 1.3376
Mo 1.2581 4.8249 1.3376
Mo 2.3087 1.2581 1.3376
Mo 5.8755 2.3087 1.3376
```


2.
VASP calculation (GGA-PBE) on crystalline Cu2Ni8Mo at its relaxed geometry.

Formation energy from the elements   204 meV per atom
Magnetic moment   0.1 Bohr magnetons per cell

Structure (extended XYZ):
```
11
Lattice="4.1873 0.5900 -0.9577 -1.1068 4.2482 -2.2072 -0.7462 0.5382 6.8762" Properties=species:S:1:pos:R:3 pbc="T T T"
Ni -0.0696 3.9260 2.1219
Ni 2.3749 3.5956 2.8360
Ni -0.6472 4.0280 -0.2891
Ni 2.9815 1.3484 4.0003
Ni 2.4039 1.4504 1.5894
Ni -0.0406 1.7808 0.8753
Ni 0.5089 2.2912 -1.3563
Ni 2.5717 2.5470 -1.8086
Mo 2.0937 0.2950 -0.4788
Cu 0.5004 1.8635 3.3357
Cu 1.8340 3.5129 0.3756
```


3.
VASP calculation (GGA-PBE) on crystalline Cu2NiMo at its relaxed geometry.

Energy above the lowest structure with this stoichiometry   617 meV/atom
Formation energy from the elements   681 meV per atom
Magnetic moment   0.0 Bohr magnetons per cell

Structure (extended XYZ):
```
8
Lattice="-0.1187 5.9513 3.0972 -4.7210 -2.2750 4.1906 -0.6927 1.0754 5.1756" Properties=species:S:1:pos:R:3 pbc="T T T"
Cu -4.6569 4.0702 10.1721
Cu -2.4317 2.1383 6.7010
Cu -3.1411 -0.2864 4.3640
Cu -0.8350 3.5814 3.6896
Ni -2.4199 1.8381 3.6439
Ni -3.9167 0.3193 6.5050
Mo 0.0000 0.0000 0.0000
Mo -1.6156 4.4324 5.9583
```


4.
VASP calculation (GGA-PBE) on crystalline CuNiMo3 at its relaxed geometry.

Energy above the lowest structure with this stoichiometry   0 meV/atom
Formation energy from the elements   1470 meV per atom
Magnetic moment   0.0 Bohr magnetons per cell

Structure (extended XYZ):
```
5
Lattice="4.4517 0.0000 0.0000 0.0000 4.4517 0.0000 0.0000 0.0000 4.4517" Properties=species:S:1:pos:R:3 pbc="T T T"
Mo 0.0000 2.2258 0.0000
Mo 0.0000 0.0000 2.2258
Mo 2.2258 0.0000 0.0000
Cu 2.2258 2.2258 2.2258
Ni 0.0000 0.0000 0.0000
```


5.
VASP calculation (GGA-PBE) on crystalline Cu2NiMo at its relaxed geometry.

Energy above the lowest structure with this stoichiometry   213 meV/atom
Formation energy from the elements   276 meV per atom
Magnetic moment   0.0 Bohr magnetons per cell

Structure (extended XYZ):
```
4
Lattice="4.3821 -0.0050 0.0000 1.0293 4.2595 0.0000 -2.7057 -2.1273 2.7123" Properties=species:S:1:pos:R:3 pbc="T T T"
Ni 2.1910 -0.0025 1.3562
Mo 0.5146 2.1297 1.3562
Cu 0.0000 0.0000 0.0000
Cu 2.7057 2.1273 0.0000
```


6.
VASP calculation (GGA-PBE) on crystalline CuNi3Mo at its relaxed geometry.

Energy above the lowest structure with this stoichiometry   1054 meV/atom
Formation energy from the elements   1239 meV per atom
Magnetic moment   3.5 Bohr magnetons per cell

Structure (extended XYZ):
```
5
Lattice="-2.6392 0.3158 -3.2645 1.7238 -3.4312 -1.7255 -2.7902 -2.4185 2.0218" Properties=species:S:1:pos:R:3 pbc="T T T"
Ni -1.3196 0.1579 -1.6322
Ni -1.3951 -1.2093 1.0109
Ni 0.8619 -1.7156 -0.8628
Cu 0.0000 0.0000 0.0000
Mo -1.8528 -2.7670 -1.4841
```


7.
VASP calculation (GGA-PBE) on crystalline Cu2NiMo at its relaxed geometry.

Energy above the lowest structure with this stoichiometry   127 meV/atom
Formation energy from the elements   191 meV per atom
Magnetic moment   0.0 Bohr magnetons per cell

Structure (extended XYZ):
```
4
Lattice="4.1529 0.0006 0.0000 0.0053 4.1529 0.0000 -2.0791 -2.0768 2.9345" Properties=species:S:1:pos:R:3 pbc="T T T"
Mo 2.0791 2.0768 0.0000
Ni 2.0765 0.0003 1.4672
Cu 0.0000 0.0000 0.0000
Cu 0.0026 2.0764 1.4672
```


8.
VASP calculation (GGA-PBE) on crystalline Cu2NiMo at its relaxed geometry.

Energy above the lowest structure with this stoichiometry   293 meV/atom
Formation energy from the elements   357 meV per atom
Magnetic moment   0.5 Bohr magnetons per cell

Structure (extended XYZ):
```
4
Lattice="-0.5644 4.3789 -0.5554 -4.2312 -0.6962 -1.1892 -0.7410 0.2224 2.5063" Properties=species:S:1:pos:R:3 pbc="T T T"
Cu -2.3978 1.8414 -0.8723
Cu 0.0000 0.0000 0.0000
Mo -0.6527 2.3006 0.9754
Ni -2.4861 -0.2369 0.6586
```


> Look up the formation energy from the elements of the eighth one.

357 meV per atom


> Look up the formation energy from the elements of the third one.

681 meV per atom